Record 1
# CaPPdS2 (GGA-PBEsol, relaxed)
data_CaPPdS2
_chemical_formula_sum 'Ca1 P1 Pd1 S2'
_space_group_name_H-M_alt 'P 1'
_space_group_IT_number 1
_space_group_name_Hall 'P 1'
_cell_length_a 4.3523
_cell_length_b 4.9124
_cell_length_c 4.9124
_cell_angle_alpha 90.00
_cell_angle_beta 90.00
_cell_angle_gamma 90.00
loop_
_atom_site_label
_atom_site_type_symbol
_atom_site_fract_x
_atom_site_fract_y
_atom_site_fract_z
_atom_site_occupancy
Pd1 Pd 0.0000 0.0000 0.0000 1
Ca1 Ca 0.5000 0.5000 0.5000 1
S1 S 0.0000 0.5000 0.0000 1
S2 S 0.0000 0.0000 0.5000 1
P1 P 0.5000 0.0000 0.0000 1
# - Formation energy without anion corrections: -0.38 eV/atom
# - Mass density: 3.82 g/cm³
# - Magnetization: 0.0 μB/f.u.
# - Crystal system: tetragonal
# - Final energy: -4.9103 eV per atom


Record 2
# ZnCd (GGA-PBEsol, relaxed)
data_ZnCd
_chemical_formula_sum 'Zn2 Cd2'
_space_group_name_H-M_alt 'P 1'
_space_group_IT_number 1
_space_group_name_Hall 'P 1'
_cell_length_a 2.7731
_cell_length_b 4.7621
_cell_length_c 5.9995
_cell_angle_alpha 110.47
_cell_angle_beta 103.36
_cell_angle_gamma 90.00
loop_
_atom_site_label
_atom_site_type_symbol
_atom_site_fract_x
_atom_site_fract_y
_atom_site_fract_z
_atom_site_occupancy
Cd1 Cd 0.1071 0.3086 0.2141 1
Cd2 Cd 0.8929 0.6914 0.7859 1
Zn1 Zn 0.3502 0.1613 0.7003 1
Zn2 Zn 0.6498 0.8387 0.2997 1
# - Mass density: 8.21 g/cm³
# - Magnetization: 0.0 μB/f.u.
# - Crystal system: monoclinic
# - Formation enthalpy at 0 K: 0.0652 eV per atom
# - Final energy: -1.3243 eV per atom


Record 3
# KFeSeN2 (GGA-PBEsol, relaxed)
data_KFeSeN2
_chemical_formula_sum 'K1 Fe1 Se1 N2'
_space_group_name_H-M_alt 'P 1'
_space_group_IT_number 1
_space_group_name_Hall 'P 1'
_cell_length_a 3.7955
_cell_length_b 3.7955
_cell_length_c 4.9935
_cell_angle_alpha 90.00
_cell_angle_beta 90.00
_cell_angle_gamma 90.00
loop_
_atom_site_label
_atom_site_type_symbol
_atom_site_fract_x
_atom_site_fract_y
_atom_site_fract_z
_atom_site_occupancy
N1 N 0.0000 0.5000 0.0000 1
N2 N 0.5000 0.0000 0.0000 1
Fe1 Fe 0.0000 0.0000 0.0000 1
K1 K 0.5000 0.5000 0.5000 1
Se1 Se 0.0000 0.0000 0.5000 1
# - Formation energy without anion corrections: 0.71 eV/atom
# - Mass density: 4.66 g/cm³
# - Magnetization: 0.4 μB/f.u.
# - Crystal system: tetragonal
# - Final energy: -5.4881 eV per atom


Please write out number 3 again, unchanged.
# KFeSeN2 (GGA-PBEsol, relaxed)
data_KFeSeN2
_chemical_formula_sum 'K1 Fe1 Se1 N2'
_space_group_name_H-M_alt 'P 1'
_space_group_IT_number 1
_space_group_name_Hall 'P 1'
_cell_length_a 3.7955
_cell_length_b 3.7955
_cell_length_c 4.9935
_cell_angle_alpha 90.00
_cell_angle_beta 90.00
_cell_angle_gamma 90.00
loop_
_atom_site_label
_atom_site_type_symbol
_atom_site_fract_x
_atom_site_fract_y
_atom_site_fract_z
_atom_site_occupancy
N1 N 0.0000 0.5000 0.0000 1
N2 N 0.5000 0.0000 0.0000 1
Fe1 Fe 0.0000 0.0000 0.0000 1
K1 K 0.5000 0.5000 0.5000 1
Se1 Se 0.0000 0.0000 0.5000 1
# - Formation energy without anion corrections: 0.71 eV/atom
# - Mass density: 4.66 g/cm³
# - Magnetization: 0.4 μB/f.u.
# - Crystal system: tetragonal
# - Final energy: -5.4881 eV per atom


Repeat the second record exactly.
# ZnCd (GGA-PBEsol, relaxed)
data_ZnCd
_chemical_formula_sum 'Zn2 Cd2'
_space_group_name_H-M_alt 'P 1'
_space_group_IT_number 1
_space_group_name_Hall 'P 1'
_cell_length_a 2.7731
_cell_length_b 4.7621
_cell_length_c 5.9995
_cell_angle_alpha 110.47
_cell_angle_beta 103.36
_cell_angle_gamma 90.00
loop_
_atom_site_label
_atom_site_type_symbol
_atom_site_fract_x
_atom_site_fract_y
_atom_site_fract_z
_atom_site_occupancy
Cd1 Cd 0.1071 0.3086 0.2141 1
Cd2 Cd 0.8929 0.6914 0.7859 1
Zn1 Zn 0.3502 0.1613 0.7003 1
Zn2 Zn 0.6498 0.8387 0.2997 1
# - Mass density: 8.21 g/cm³
# - Magnetization: 0.0 μB/f.u.
# - Crystal system: monoclinic
# - Formation enthalpy at 0 K: 0.0652 eV per atom
# - Final energy: -1.3243 eV per atom


Which of these has the highest mass density?
ZnCd